No. 1
A crystal of LiZnAu2O relaxed with PBEsol. Source: Alexandria via LeMat-Bulk, functional SCAN.

Lattice parameters (Å, degrees): 4.676 4.676 4.905 90.00 90.00 90.00
Space group P4/mmm (No. 123)
Asymmetric unit:
Li 0.000 0.000 0.000 x1
Zn 0.000 0.000 0.500 x1
Au 0.000 0.500 0.500 x2
O 0.500 0.500 0.000 x1

Summary:
size of the total moment = 1.30 μB/f.u.
formation energy (no corrections) = 279 kJ/mol of formula units
E_tot = -157.6 eV for the cell shown



No. 2
A crystal of SrLiCo2 relaxed with PBEsol. Source: Alexandria via LeMat-Bulk, functional SCAN.

Lattice parameters (Å, degrees): 3.832 3.832 8.925 90.00 90.00 90.00
Space group I4/mmm (No. 139)
Asymmetric unit:
Sr 0.000 0.000 0.000 x2
Li 0.000 0.000 0.500 x2
Co 0.000 0.500 0.250 x4

Summary:
size of the total moment = 3.01 μB/f.u.
ΔE to the lowest computed polymorph = 344 meV per atom
E_tot = -112.4 eV for the cell shown



No. 3
A crystal of TaFeSb2 relaxed with PBEsol. Source: Alexandria via LeMat-Bulk, functional SCAN.

Lattice parameters (Å, degrees): 9.820 3.120 5.082 90.00 111.57 90.00
Space group Cm (No. 8)
Asymmetric unit:
Ta 0.000 0.000 0.000 x2
Fe 0.299 0.000 0.632 x2
Sb 0.061 0.500 0.541 x2
Sb 0.268 0.500 0.187 x2

Summary:
size of the total moment = 1.36 μB/f.u.
formation energy (no corrections) = 115 kJ/mol of formula units
E_tot = -316.1 eV for the cell shown



No. 4
A crystal of Mg2AlZn relaxed with PBEsol. Source: Alexandria via LeMat-Bulk, functional SCAN.

Lattice parameters (Å, degrees): 4.200 4.200 8.262 90.00 90.00 90.00
Space group I4/mmm (No. 139)
Asymmetric unit:
Mg 0.000 0.500 0.250 x4
Al 0.000 0.000 0.000 x2
Zn 0.000 0.000 0.500 x2

Summary:
size of the total moment = 0.00 μB/f.u.
E_tot = -62.7 eV for the cell shown



No. 5
A crystal of BeTcHg2 relaxed with PBEsol. Source: Alexandria via LeMat-Bulk, functional SCAN.

Lattice parameters (Å, degrees): 2.906 4.590 9.491 90.00 90.00 90.00
Space group Imm2 (No. 44)
Asymmetric unit:
Be 0.000 0.000 0.000 x2
Tc 0.000 0.500 0.305 x2
Hg 0.000 0.000 0.523 x2
Hg 0.000 0.500 0.738 x2

Summary:
size of the total moment = 0.00 μB/f.u.
E_tot = -347.4 eV for the cell shown



No. 6
A crystal of CdMoRu2 relaxed with PBEsol. Source: Alexandria via LeMat-Bulk, functional SCAN.

Lattice parameters (Å, degrees): 2.874 4.457 4.733 90.00 90.00 90.00
Space group Pmmm (No. 47)
Asymmetric unit:
Cd 0.000 0.000 0.000 x1
Mo 0.500 0.000 0.500 x1
Ru 0.000 0.500 0.500 x1
Ru 0.500 0.500 0.000 x1

Summary:
size of the total moment = 0.00 μB/f.u.
E_tot = -132.4 eV for the cell shown



No. 7
A crystal of BePt2 relaxed with PBEsol. Source: Alexandria via LeMat-Bulk, functional SCAN.

Lattice parameters (Å, degrees): 5.623 5.623 4.742 90.00 90.00 90.00
Space group I4/mcm (No. 140)
Asymmetric unit:
Be 0.000 0.000 0.250 x4
Pt 0.165 0.335 0.000 x8

Summary:
size of the total moment = 0.00 μB/f.u.
E_tot = -585.7 eV for the cell shown



No. 8
A crystal of CaNb2SnAu relaxed with PBEsol. Source: Alexandria via LeMat-Bulk, functional SCAN.

Lattice parameters (Å, degrees): 4.649 4.649 5.257 90.00 90.00 90.00
Space group P4/mmm (No. 123)
Asymmetric unit:
Ca 0.000 0.000 0.000 x1
Nb 0.000 0.500 0.000 x2
Sn 0.000 0.000 0.500 x1
Au 0.500 0.500 0.500 x1

Summary:
size of the total moment = 0.00 μB/f.u.
E_tot = -171.2 eV for the cell shown



No. 9
A crystal of LaBe13 relaxed with PBEsol. Source: Alexandria via LeMat-Bulk, functional SCAN.

Lattice parameters (Å, degrees): 10.341 10.341 10.341 90.00 90.00 90.00
Space group Fm-3c (No. 226)
Asymmetric unit:
La 0.250 0.250 0.250 x8
Be 0.000 0.000 0.000 x8
Be 0.000 0.112 0.175 x96

Summary:
size of the total moment = 0.00 μB/f.u.
E_tot = -812.0 eV for the cell shown



No. 10
A crystal of Tl3SbOs relaxed with PBEsol. Source: Alexandria via LeMat-Bulk, functional SCAN.

Lattice parameters (Å, degrees): 5.238 5.238 5.238 90.00 90.00 90.00
Space group Pm-3m (No. 221)
Asymmetric unit:
Tl 0.000 0.000 0.500 x3
Sb 0.500 0.500 0.500 x1
Os 0.000 0.000 0.000 x1

Summary:
size of the total moment = 2.25 μB/f.u.
formation energy (no corrections) = 326 kJ/mol of formula units
E_tot = -322.8 eV for the cell shown



No. 11
A crystal of Tb2Si3 relaxed with PBEsol. Source: Alexandria via LeMat-Bulk, functional SCAN.

Lattice parameters (Å, degrees): 3.860 3.949 13.649 90.00 90.00 90.00
Space group Imm2 (No. 44)
Asymmetric unit:
Tb 0.000 0.000 0.000 x2
Tb 0.000 0.500 0.255 x2
Si 0.000 0.000 0.425 x2
Si 0.000 0.000 0.596 x2
Si 0.000 0.500 0.825 x2

Summary:
size of the total moment = 0.00 μB/f.u.
ΔE to the lowest computed polymorph = 0 meV per atom
formation energy (no corrections) = -304 kJ/mol of formula units
E_tot = -253.4 eV for the cell shown



No. 12
A crystal of Tb2Co12P7 relaxed with PBEsol. Source: Alexandria via LeMat-Bulk, functional SCAN.

Lattice parameters (Å, degrees): 8.9046 8.9046 3.5377 90.00 90.00 120.00
Space group P-6 (No. 174)
Asymmetric unit:
Tb 0.0000 0.0000 0.0000 x1
Tb 0.3333 0.6667 0.5000 x1
Co 0.0485 0.2807 0.5000 x3
Co 0.1010 0.7082 0.0000 x3
Co 0.3939 0.1805 0.0000 x3
Co 0.5361 0.4368 0.5000 x3
P 0.0715 0.4454 0.0000 x3
P 0.2651 0.2235 0.5000 x3
P 0.6667 0.3333 0.0000 x1

Summary:
size of the total moment = 5.91 μB/f.u.
E_tot = -389.5 eV for the cell shown



No. 13
A crystal of Y2In3 relaxed with PBEsol. Source: Alexandria via LeMat-Bulk, functional SCAN.

Lattice parameters (Å, degrees): 5.0605 5.0605 6.3529 90.00 90.00 120.00
Space group P-3m1 (No. 164)
Asymmetric unit:
Y 0.3333 0.6667 0.3296 x2
In 0.0000 0.0000 0.5000 x1
In 0.3333 0.6667 0.8523 x2

Summary:
size of the total moment = 0.00 μB/f.u.
ΔE to the lowest computed polymorph = 234 meV per atom
E_tot = -158.0 eV for the cell shown



No. 14
A crystal of LaIrRh2 relaxed with PBEsol. Source: Alexandria via LeMat-Bulk, functional SCAN.

Lattice parameters (Å, degrees): 2.845 3.868 6.216 90.00 90.00 90.00
Space group Pmmm (No. 47)
Asymmetric unit:
La 0.000 0.000 0.000 x1
Ir 0.000 0.000 0.500 x1
Rh 0.500 0.500 0.295 x2

Summary:
size of the total moment = 0.00 μB/f.u.
E_tot = -182.1 eV for the cell shown



No. 15
A crystal of BaFe2Cl relaxed with PBEsol. Source: Alexandria via LeMat-Bulk, functional SCAN.

Lattice parameters (Å, degrees): 3.610 3.610 6.675 90.00 90.00 90.00
Space group P4/mmm (No. 123)
Asymmetric unit:
Ba 0.000 0.000 0.000 x1
Fe 0.500 0.500 0.335 x2
Cl 0.000 0.000 0.500 x1

Summary:
size of the total moment = 6.88 μB/f.u.
ΔE to the lowest computed polymorph = 692 meV per atom
formation energy (no corrections) = 211 kJ/mol of formula units
E_tot = -81.6 eV for the cell shown



No. 16
A crystal of CsInPb3 relaxed with PBEsol. Source: Alexandria via LeMat-Bulk, functional SCAN.

Lattice parameters (Å, degrees): 6.149 6.149 6.149 90.00 90.00 90.00
Space group Pm-3m (No. 221)
Asymmetric unit:
Cs 0.000 0.000 0.000 x1
In 0.500 0.500 0.500 x1
Pb 0.000 0.000 0.500 x3

Summary:
size of the total moment = 0.00 μB/f.u.
E_tot = -292.5 eV for the cell shown



No. 17
A crystal of ReHgSe2Br relaxed with PBEsol. Source: Alexandria via LeMat-Bulk, functional SCAN.

Lattice parameters (Å, degrees): 4.765 4.765 5.328 90.00 90.00 90.00
Space group P4/mmm (No. 123)
Asymmetric unit:
Re 0.000 0.000 0.000 x1
Hg 0.500 0.500 0.500 x1
Se 0.000 0.500 0.000 x2
Br 0.000 0.000 0.500 x1

Summary:
size of the total moment = 0.00 μB/f.u.
formation energy (no corrections) = 165 kJ/mol of formula units
E_tot = -197.2 eV for the cell shown



No. 18
A crystal of Ta2Br relaxed with PBEsol. Source: Alexandria via LeMat-Bulk, functional SCAN.

Lattice parameters (Å, degrees): 2.946 15.440 4.854 90.00 90.00 90.00
Space group Cmcm (No. 63)
Asymmetric unit:
Ta 0.000 0.041 0.250 x4
Ta 0.000 0.289 0.750 x4
Br 0.000 0.364 0.250 x4

Summary:
size of the total moment = 0.00 μB/f.u.
ΔE to the lowest computed polymorph = 347 meV per atom
formation energy (no corrections) = 228 kJ/mol of formula units
E_tot = -601.1 eV for the cell shown



No. 19
A crystal of MnZnRh2 relaxed with PBEsol. Source: Alexandria via LeMat-Bulk, functional SCAN.

Lattice parameters (Å, degrees): 6.012 6.012 6.012 90.00 90.00 90.00
Space group F-43m (No. 216)
Asymmetric unit:
Mn 0.000 0.000 0.000 x4
Zn 0.250 0.250 0.250 x4
Rh 0.000 0.000 0.500 x4
Rh 0.250 0.250 0.750 x4

Summary:
size of the total moment = 5.50 μB/f.u.
E_tot = -400.6 eV for the cell shown



No. 20
A crystal of Al4Sb3 relaxed with PBEsol. Source: Alexandria via LeMat-Bulk, functional SCAN.

Lattice parameters (Å, degrees): 3.647 3.647 22.287 90.00 90.00 90.00
Space group I4/mmm (No. 139)
Asymmetric unit:
Al 0.000 0.000 0.069 x4
Al 0.000 0.000 0.365 x4
Sb 0.000 0.000 0.199 x4
Sb 0.000 0.000 0.500 x2

Summary:
size of the total moment = 0.00 μB/f.u.
ΔE to the lowest computed polymorph = 0 meV per atom
formation energy (no corrections) = 133 kJ/mol of formula units
E_tot = -282.8 eV for the cell shown



No. 21
A crystal of Ba8Al10B12O41 relaxed with PBEsol. Source: Alexandria via LeMat-Bulk, functional SCAN.

Lattice parameters (Å, degrees): 9.264 9.828 11.083 76.11 73.31 78.07
Space group P-1 (No. 2)
Asymmetric unit:
Ba 0.197 0.075 0.153 x2
Ba 0.209 0.928 0.554 x2
Ba 0.210 0.443 0.559 x2
Ba 0.223 0.551 0.146 x2
Al 0.102 0.634 0.814 x2
Al 0.129 0.136 0.795 x2
Al 0.416 0.211 0.298 x2
Al 0.419 0.708 0.295 x2
Al 0.451 0.840 0.992 x2
B 0.096 0.283 0.356 x2
B 0.099 0.784 0.345 x2
B 0.117 0.341 0.940 x2
B 0.179 0.849 0.909 x2
B 0.431 0.574 0.665 x2
B 0.439 0.076 0.662 x2
O 0.004 0.754 0.698 x2
O 0.017 0.750 0.270 x2
O 0.064 0.909 0.383 x2
O 0.078 0.416 0.380 x2
O 0.097 0.365 0.062 x2
O 0.103 0.956 0.831 x2
O 0.117 0.445 0.832 x2
O 0.136 0.201 0.926 x2
O 0.175 0.709 0.913 x2
O 0.224 0.183 0.374 x2
O 0.225 0.684 0.369 x2
O 0.258 0.886 0.980 x2
O 0.285 0.644 0.680 x2
O 0.295 0.154 0.669 x2
O 0.424 0.233 0.136 x2
O 0.437 0.714 0.134 x2
O 0.440 0.865 0.336 x2
O 0.446 0.365 0.336 x2
O 0.461 0.937 0.646 x2
O 0.463 0.438 0.640 x2
O 0.500 0.000 0.000 x1

Summary:
size of the total moment = 0.01 μB/f.u.
formation energy (no corrections) = -21307 kJ/mol of formula units
E_tot = -959.4 eV for the cell shown



No. 22
A crystal of Sc2FeHg relaxed with PBEsol. Source: Alexandria via LeMat-Bulk, functional SCAN.

Lattice parameters (Å, degrees): 4.366 3.287 10.495 90.00 90.00 90.00
Space group Amm2 (No. 38)
Asymmetric unit:
Sc 0.000 0.000 0.000 x2
Sc 0.500 0.000 0.308 x2
Fe 0.000 0.000 0.741 x2
Hg 0.500 0.000 0.584 x2

Summary:
size of the total moment = 1.63 μB/f.u.
E_tot = -231.5 eV for the cell shown



No. 23
A crystal of ZnNiHg2 relaxed with PBEsol. Source: Alexandria via LeMat-Bulk, functional SCAN.

Lattice parameters (Å, degrees): 6.403 6.403 6.403 90.00 90.00 90.00
Space group F-43m (No. 216)
Asymmetric unit:
Zn 0.000 0.000 0.000 x4
Ni 0.250 0.250 0.250 x4
Hg 0.000 0.000 0.500 x4
Hg 0.250 0.250 0.750 x4

Summary:
size of the total moment = 0.00 μB/f.u.
E_tot = -658.8 eV for the cell shown